The following is a PBE-GGA calculation of an optimized crystal structure of DyTmPb2, from Alexandria.

Computed properties:
- calculated volume (Å³/cell) = 461.5
- ΔH_f (0 K) (eV/atom) = -0.4253

Cell lengths 6.309, 6.308, 12.006 Å; angles 90.00, 105.02, 90.00 degrees
Fractional positions:
Dy 0.189 0.126 0.128
Dy 0.189 0.874 0.628
Dy 0.811 0.126 0.372
Dy 0.811 0.874 0.872
Tm 0.314 0.375 0.874
Tm 0.314 0.625 0.374
Tm 0.686 0.375 0.626
Tm 0.686 0.625 0.126
Pb 0.175 0.375 0.604
Pb 0.175 0.625 0.104
Pb 0.324 0.126 0.398
Pb 0.324 0.874 0.898
Pb 0.676 0.126 0.102
Pb 0.676 0.874 0.602
Pb 0.825 0.375 0.896
Pb 0.825 0.625 0.396